Entry 1:
! Gd2Y2CF5 PBE-GGA relaxed; values from VASP
&SYSTEM
  ibrav = 0, nat = 10, ntyp = 4
/
ATOMIC_SPECIES
C 12.01 C.upf
F 19.00 F.upf
Gd 157.25 Gd.upf
Y 88.91 Y.upf
ATOMIC_POSITIONS crystal
C 0.500 0.500 0.000
F 0.824 0.824 0.101
F 0.173 0.173 0.455
F 0.500 0.500 0.500
F 0.827 0.827 0.545
F 0.176 0.176 0.899
Gd 0.998 0.998 0.239
Gd 0.002 0.002 0.761
Y 0.685 0.685 0.188
Y 0.315 0.315 0.812
CELL_PARAMETERS angstrom
7.341 -1.729 0.000
7.341 1.729 0.000
-2.975 0.000 6.123
! M_tot, Bohr magnetons per cell: 0.08

***

Entry 2:
! GdYCF2 PBE-GGA relaxed; values from VASP
&SYSTEM
  ibrav = 0, nat = 5, ntyp = 4
/
ATOMIC_SPECIES
C 12.01 C.upf
F 19.00 F.upf
Gd 157.25 Gd.upf
Y 88.91 Y.upf
ATOMIC_POSITIONS crystal
C 0.000 0.000 0.998
F 0.667 0.333 0.389
F 0.333 0.667 0.615
Gd 0.333 0.667 0.213
Y 0.667 0.333 0.786
CELL_PARAMETERS angstrom
-1.235 3.428 -0.368
-1.828 -2.391 2.086
3.446 1.785 5.066
! M_tot, Bohr magnetons per cell: 0.00

***

Entry 3:
The following is a DFT calculation (PBE-GGA) of HgH36C14S8O12F6 after structural relaxation. Values from VASP.

```
&SYSTEM
  ibrav = 0, nat = 77, ntyp = 6
/
ATOMIC_SPECIES
C 12.01 C.upf
F 19.00 F.upf
H 1.01 H.upf
Hg 200.59 Hg.upf
O 16.00 O.upf
S 32.06 S.upf
ATOMIC_POSITIONS crystal
C 0.533 0.310 0.013
C 0.953 0.352 0.019
C 0.534 0.677 0.310
C 0.467 0.987 0.323
C 0.354 0.333 0.333
C 0.953 0.629 0.352
C 0.047 0.981 0.371
C 0.953 0.019 0.629
C 0.047 0.371 0.648
C 0.646 0.667 0.667
C 0.533 0.013 0.677
C 0.466 0.323 0.690
C 0.047 0.648 0.981
C 0.467 0.690 0.987
F 0.273 0.337 0.224
F 0.273 0.439 0.337
F 0.273 0.224 0.439
F 0.727 0.776 0.561
F 0.727 0.561 0.663
F 0.727 0.663 0.776
H 0.405 0.239 0.031
H 0.116 0.313 0.033
H 0.519 0.350 0.080
H 0.069 0.568 0.083
H 0.464 0.610 0.089
H 0.915 0.383 0.090
H 0.405 0.730 0.239
H 0.595 0.969 0.270
H 0.464 0.089 0.301
H 0.116 0.653 0.313
H 0.884 0.967 0.346
H 0.519 0.571 0.350
H 0.069 0.083 0.350
H 0.915 0.527 0.383
H 0.536 0.699 0.390
H 0.481 0.920 0.429
H 0.931 0.650 0.432
H 0.085 0.910 0.473
H 0.915 0.090 0.527
H 0.069 0.350 0.568
H 0.519 0.080 0.571
H 0.464 0.301 0.610
H 0.085 0.473 0.617
H 0.931 0.917 0.650
H 0.481 0.429 0.650
H 0.116 0.033 0.654
H 0.884 0.347 0.687
H 0.536 0.911 0.699
H 0.405 0.031 0.730
H 0.595 0.270 0.761
H 0.085 0.617 0.910
H 0.536 0.390 0.911
H 0.931 0.432 0.917
H 0.481 0.650 0.920
H 0.884 0.687 0.967
H 0.595 0.761 0.969
Hg 0.000 0.000 0.000
O 0.197 0.803 0.068
O 0.197 0.068 0.129
O 0.803 0.871 0.197
O 0.708 0.455 0.213
O 0.708 0.213 0.332
O 0.708 0.332 0.455
O 0.292 0.668 0.545
O 0.292 0.787 0.668
O 0.292 0.545 0.787
O 0.197 0.129 0.803
O 0.803 0.932 0.871
O 0.803 0.197 0.932
S 0.777 0.220 0.050
S 0.777 0.730 0.220
S 0.223 0.950 0.270
S 0.655 0.333 0.333
S 0.345 0.667 0.667
S 0.777 0.050 0.730
S 0.223 0.270 0.780
S 0.223 0.780 0.950
CELL_PARAMETERS angstrom
6.242 0.000 0.000
0.000 11.722 0.000
0.000 5.861 10.152
```

***

Entry 4:
! HoH18C3S3O18F9 PBE-GGA relaxed; values from VASP
&SYSTEM
  ibrav = 0, nat = 104, ntyp = 6
/
ATOMIC_SPECIES
C 12.01 C.upf
F 19.00 F.upf
H 1.01 H.upf
Ho 164.93 Ho.upf
O 16.00 O.upf
S 32.06 S.upf
ATOMIC_POSITIONS crystal
C 0.482 0.750 0.295
C 0.295 0.250 0.313
C 0.686 0.250 0.482
C 0.314 0.750 0.518
C 0.705 0.750 0.687
C 0.518 0.250 0.705
F 0.364 0.250 0.259
F 0.437 0.600 0.321
F 0.437 0.900 0.321
F 0.605 0.750 0.364
F 0.321 0.100 0.385
F 0.321 0.400 0.385
F 0.259 0.750 0.395
F 0.615 0.100 0.437
F 0.615 0.400 0.437
F 0.385 0.600 0.563
F 0.385 0.900 0.563
F 0.741 0.250 0.605
F 0.679 0.600 0.615
F 0.679 0.900 0.615
F 0.395 0.250 0.636
F 0.563 0.100 0.679
F 0.563 0.400 0.679
F 0.636 0.750 0.741
H 0.125 0.041 0.008
H 0.125 0.459 0.008
H 0.788 0.081 0.017
H 0.788 0.419 0.017
H 0.404 0.139 0.068
H 0.404 0.361 0.068
H 0.617 0.541 0.125
H 0.617 0.959 0.125
H 0.068 0.639 0.164
H 0.068 0.861 0.164
H 0.729 0.081 0.212
H 0.729 0.419 0.212
H 0.983 0.081 0.271
H 0.983 0.419 0.271
H 0.008 0.541 0.383
H 0.008 0.959 0.383
H 0.836 0.639 0.404
H 0.836 0.861 0.404
H 0.164 0.139 0.596
H 0.164 0.361 0.596
H 0.992 0.041 0.617
H 0.992 0.459 0.617
H 0.017 0.581 0.729
H 0.017 0.919 0.729
H 0.271 0.581 0.788
H 0.271 0.919 0.788
H 0.932 0.139 0.836
H 0.932 0.361 0.836
H 0.383 0.041 0.875
H 0.383 0.459 0.875
H 0.596 0.639 0.932
H 0.596 0.861 0.932
H 0.212 0.581 0.983
H 0.212 0.919 0.983
H 0.875 0.541 0.992
H 0.875 0.959 0.992
Ho 0.833 0.750 0.167
Ho 0.167 0.250 0.833
O 0.354 0.250 0.030
O 0.855 0.509 0.056
O 0.855 0.991 0.056
O 0.300 0.750 0.077
O 0.482 0.579 0.113
O 0.482 0.921 0.113
O 0.113 0.079 0.131
O 0.113 0.421 0.131
O 0.701 0.509 0.145
O 0.701 0.991 0.145
O 0.030 0.750 0.176
O 0.077 0.250 0.276
O 0.944 0.509 0.299
O 0.944 0.991 0.299
O 0.724 0.250 0.300
O 0.824 0.750 0.354
O 0.869 0.079 0.482
O 0.869 0.421 0.482
O 0.131 0.579 0.518
O 0.131 0.921 0.518
O 0.176 0.250 0.646
O 0.276 0.750 0.700
O 0.056 0.009 0.701
O 0.056 0.491 0.701
O 0.923 0.750 0.724
O 0.970 0.250 0.824
O 0.299 0.009 0.855
O 0.299 0.491 0.855
O 0.887 0.579 0.869
O 0.887 0.921 0.869
O 0.518 0.079 0.887
O 0.518 0.421 0.887
O 0.700 0.250 0.923
O 0.145 0.009 0.944
O 0.145 0.491 0.944
O 0.646 0.750 0.970
S 0.433 0.750 0.132
S 0.132 0.250 0.200
S 0.800 0.250 0.433
S 0.200 0.750 0.567
S 0.868 0.750 0.800
S 0.567 0.250 0.868
CELL_PARAMETERS angstrom
12.660 0.000 0.000
0.000 7.228 0.000
-6.329 0.000 10.964
! M_tot, Bohr magnetons per cell: 0.00

***

| no. | calculated total energy (eV per cell) |
| --- | --- |
| 1 | -67.2 |
| 2 | -36.1 |
| 3 | -393.2 |
| 4 | -559.9 |